This record from the Alexandria database describes a crystal of ZrCoSbI2 relaxed with PBEsol. The functional is SCAN.

a b c (Å): 5.496 5.496 5.701
angles (deg): 90.00 90.00 90.00
Fractional positions:
Zr 0.000 0.000 0.000
Co 0.500 0.500 0.500
I 0.500 0.000 0.000
I 0.000 0.500 0.000
Sb 0.000 0.000 0.500

The formation energy from raw total energies comes out at 0.566 eV per atom. Its calculated volume is 34.439 A^3/atom. The calculation puts the density of states at the Fermi level at 5.44 states/eV/f.u.

***

This record from the Alexandria database describes a crystal of K2Na3TlO4 relaxed with PBEsol. The functional is SCAN.

a b c (Å): 7.700 9.215 9.545
angles (deg): 90.00 90.00 90.00
Fractional positions:
Na 0.000 0.759 0.084
Na 0.250 0.017 0.848
Na 0.250 0.517 0.652
Na 0.000 0.241 0.916
Na 0.750 0.983 0.152
Na 0.750 0.017 0.848
Na 0.500 0.741 0.584
Na 0.750 0.517 0.652
Na 0.250 0.483 0.348
Na 0.500 0.259 0.416
Na 0.750 0.483 0.348
Na 0.250 0.983 0.152
K 0.500 0.264 0.750
K 0.752 0.500 0.000
K 0.000 0.236 0.250
K 0.248 0.500 0.000
K 0.252 0.000 0.500
K 0.500 0.736 0.250
K 0.000 0.764 0.750
K 0.748 0.000 0.500
O 0.000 0.453 0.778
O 0.000 0.940 0.278
O 0.500 0.047 0.278
O 0.745 0.801 0.983
O 0.000 0.547 0.222
O 0.500 0.953 0.722
O 0.245 0.301 0.517
O 0.745 0.199 0.017
O 0.255 0.801 0.983
O 0.245 0.699 0.483
O 0.755 0.699 0.483
O 0.755 0.301 0.517
O 0.500 0.440 0.222
O 0.255 0.199 0.017
O 0.000 0.060 0.722
O 0.500 0.560 0.778
Tl 0.000 0.273 0.621
Tl 0.500 0.227 0.121
Tl 0.500 0.773 0.879
Tl 0.000 0.727 0.379

The formation energy from raw total energies comes out at -1.329 eV per atom. Its calculated volume is 16.931 A^3/atom. The calculation puts the density of states at the Fermi level at 0.00 states/eV/f.u.

***

This record from the Alexandria database describes a crystal of LiFeRu2Cl relaxed with PBEsol. The functional is SCAN.

a b c (Å): 3.981 4.322 4.322
angles (deg): 90.00 90.00 90.00
Fractional positions:
Ru 0.000 0.500 0.000
Ru 0.000 0.000 0.500
Fe 0.500 0.500 0.500
Cl 0.000 0.000 0.000
Li 0.500 0.000 0.000

The formation energy from raw total energies comes out at 0.780 eV per atom. Its calculated volume is 14.874 A^3/atom. The calculation puts the density of states at the Fermi level at 4.29 states/eV/f.u.

***

This record from the Alexandria database describes a crystal of LiMgIn relaxed with PBEsol. The functional is SCAN.

a b c (Å): 3.208 4.262 5.184
angles (deg): 114.27 108.02 90.00
Fractional positions:
In 0.001 0.001 0.003
Mg 0.334 0.334 0.669
Li 0.664 0.664 0.328

The calculation puts the formation energy at -0.262 eV per atom. Its calculated volume is 20.260 A^3/atom. The calculation puts the density of states at the Fermi level at 1.00 states/eV/f.u. The distance to the lowest polymorph of the same formula comes out at 0.0 meV per atom.

***

This record from the Alexandria database describes a crystal of BSbOs2F relaxed with PBEsol. The functional is SCAN.

a b c (Å): 4.328 4.918 4.918
angles (deg): 90.00 90.00 90.00
Fractional positions:
B 0.500 0.000 0.000
Os 0.000 0.500 0.000
Os 0.000 0.000 0.500
F 0.500 0.500 0.500
Sb 0.000 0.000 0.000

The formation energy from raw total energies comes out at 2.517 eV per atom. Its calculated volume is 20.934 A^3/atom. The calculation puts the density of states at the Fermi level at 3.42 states/eV/f.u.

***

This record from the Alexandria database describes a crystal of CuH10C2N2Cl4 relaxed with PBEsol. The functional is SCAN.

a b c (Å): 6.972 7.230 8.126
angles (deg): 90.00 88.39 90.00
Fractional positions:
H 0.426 0.545 0.678
H 0.710 0.465 0.051
H 0.019 0.200 0.067
H 0.481 0.700 0.933
H 0.150 0.007 0.744
H 0.350 0.507 0.256
H 0.650 0.493 0.744
H 0.519 0.300 0.067
H 0.290 0.535 0.949
H 0.975 0.167 0.761
H 0.926 0.955 0.678
H 0.525 0.667 0.239
H 0.981 0.800 0.933
H 0.790 0.965 0.949
H 0.475 0.333 0.761
H 0.074 0.045 0.322
H 0.574 0.455 0.322
H 0.025 0.833 0.239
H 0.210 0.035 0.051
H 0.850 0.993 0.256
Cl 0.257 0.207 0.464
Cl 0.031 0.539 0.221
Cl 0.469 0.039 0.779
Cl 0.757 0.293 0.464
Cl 0.743 0.793 0.536
Cl 0.969 0.461 0.779
Cl 0.243 0.707 0.536
Cl 0.531 0.961 0.221
C 0.947 0.949 0.933
C 0.447 0.551 0.933
C 0.053 0.051 0.067
C 0.553 0.449 0.067
N 0.003 0.024 0.770
N 0.497 0.524 0.230
N 0.503 0.476 0.770
N 0.997 0.976 0.230
Cu 0.500 0.000 0.500
Cu 0.000 0.500 0.500

The calculation puts the total energy at -6.851 eV/atom. Its calculated volume is 10.775 A^3/atom.

***

This record from the Alexandria database describes a crystal of MnZnHg2 relaxed with PBEsol. The functional is SCAN.

a b c (Å): 3.165 4.740 5.178
angles (deg): 101.06 90.00 109.50
Fractional positions:
Hg 0.749 0.498 0.748
Hg 0.251 0.502 0.252
Zn 0.500 0.000 0.000
Mn 0.000 0.000 0.500

The calculation puts the formation energy at 0.070 eV per atom. Its calculated volume is 17.922 A^3/atom. The calculation puts the density of states at the Fermi level at 1.74 states/eV/f.u. The distance to the lowest polymorph of the same formula comes out at 33.3 meV per atom.

***

This record from the Alexandria database describes a crystal of EuP7 relaxed with PBEsol. The functional is SCAN.

a b c (Å): 5.620 10.382 11.166
angles (deg): 106.74 90.00 90.00
Fractional positions:
P 0.072 0.722 0.140
P 0.275 0.359 0.940
P 0.558 0.829 0.039
P 0.942 0.329 0.539
P 0.928 0.278 0.860
P 0.903 0.079 0.721
P 0.795 0.321 0.354
P 0.205 0.679 0.646
P 0.207 0.748 0.965
P 0.047 0.921 0.912
P 0.058 0.671 0.461
P 0.225 0.859 0.440
P 0.572 0.778 0.360
P 0.597 0.579 0.221
P 0.953 0.079 0.088
P 0.707 0.752 0.535
P 0.547 0.579 0.588
P 0.442 0.171 0.961
P 0.403 0.421 0.779
P 0.705 0.821 0.854
P 0.793 0.252 0.035
P 0.293 0.248 0.465
P 0.428 0.222 0.640
P 0.725 0.641 0.060
P 0.453 0.421 0.412
P 0.097 0.921 0.279
P 0.295 0.179 0.146
P 0.775 0.141 0.560
Eu 0.892 0.535 0.784
Eu 0.608 0.035 0.284
Eu 0.392 0.965 0.716
Eu 0.108 0.465 0.216

The calculation puts the formation energy at -0.404 eV per atom. Its calculated volume is 19.494 A^3/atom. The calculation puts the density of states at the Fermi level at 1.98 states/eV/f.u.

***

This record from the Alexandria database describes a crystal of BeRhF2 relaxed with PBEsol. The functional is SCAN.

a b c (Å): 5.036 5.036 5.036
angles (deg): 60.00 60.00 60.00
Fractional positions:
F 0.125 0.625 0.125
F 0.125 0.125 0.625
F 0.625 0.125 0.125
F 0.125 0.125 0.125
Be 0.250 0.250 0.250
Be 0.000 0.000 0.000
Rh 0.750 0.750 0.750
Rh 0.500 0.500 0.500

The formation energy from raw total energies comes out at -1.575 eV per atom. Its calculated volume is 11.287 A^3/atom. The calculation puts the density of states at the Fermi level at 1.80 states/eV/f.u.

***

This record from the Alexandria database describes a crystal of Sc3Be relaxed with PBEsol. The functional is SCAN.

a b c (Å): 4.243 4.243 5.220
angles (deg): 113.98 113.98 90.00
Fractional positions:
Sc 0.750 0.250 0.500
Sc 0.500 0.500 0.000
Sc 0.250 0.750 0.500
Be 0.000 0.000 0.000

The calculation puts the formation energy at 0.206 eV per atom. Its calculated volume is 19.225 A^3/atom. The calculation puts the density of states at the Fermi level at 4.29 states/eV/f.u. The distance to the lowest polymorph of the same formula comes out at 198.2 meV per atom.

***

This record from the Alexandria database describes a crystal of TaAu5 relaxed with PBEsol. The functional is SCAN.

a b c (Å): 2.891 2.891 12.178
angles (deg): 90.00 90.00 90.00
Fractional positions:
Au 0.500 0.500 0.167
Au 0.500 0.500 0.833
Au 0.000 0.000 0.338
Au 0.000 0.000 0.000
Au 0.000 0.000 0.662
Ta 0.500 0.500 0.500

The calculation puts the formation energy at -0.096 eV per atom. Its calculated volume is 16.963 A^3/atom. The calculation puts the density of states at the Fermi level at 2.46 states/eV/f.u.

***

This record from the Alexandria database describes a crystal of Na2YF6 relaxed with PBEsol. The functional is SCAN.

a b c (Å): 3.516 5.990 5.990
angles (deg): 120.00 90.00 90.00
Fractional positions:
Y 0.000 0.000 0.000
Na 0.500 0.333 0.667
Na 0.500 0.667 0.333
F 0.000 0.374 0.374
F 0.500 0.000 0.249
F 0.000 0.626 0.000
F 0.500 0.751 0.751
F 0.000 0.000 0.626
F 0.500 0.249 0.000

The formation energy from raw total energies comes out at -3.237 eV per atom. Its calculated volume is 12.136 A^3/atom. The calculation puts the density of states at the Fermi level at 7.27 states/eV/f.u.

***

Which formula does entry 6 have? CuH10C2N2Cl4